Record 1
This record from Alexandria describes a relaxed structure of TiPCl9. The functional is GGA-PBEsol.

Calculated values
raw formation energy: -1046.7 meV/atom

Unit cell a=6.983 b=9.007 c=9.426 alpha=101.00 beta=96.99 gamma=94.13
Fractional positions:
1 Ti 0.121 0.141 0.172
2 Ti 0.879 0.859 0.828
3 P 0.452 0.312 0.721
4 P 0.548 0.688 0.279
5 Cl 0.006 0.719 0.641
6 Cl 0.083 0.327 0.040
7 Cl 0.130 0.937 0.289
8 Cl 0.204 0.976 0.950
9 Cl 0.255 0.456 0.735
10 Cl 0.332 0.601 0.361
11 Cl 0.338 0.124 0.591
12 Cl 0.439 0.210 0.243
13 Cl 0.454 0.724 0.087
14 Cl 0.546 0.276 0.913
15 Cl 0.561 0.790 0.757
16 Cl 0.662 0.876 0.409
17 Cl 0.668 0.399 0.639
18 Cl 0.745 0.544 0.265
19 Cl 0.796 0.024 0.050
20 Cl 0.870 0.063 0.711
21 Cl 0.917 0.673 0.960
22 Cl 0.994 0.281 0.359

***

Record 2
This record from Alexandria describes a relaxed structure of InPtBr2. The functional is GGA-PBEsol.

Calculated values
raw formation energy: 336.1 meV/atom
excess energy over the best structure of this formula in the dataset: 358 meV/atom

Unit cell a=3.418 b=3.418 c=7.566 alpha=90.00 beta=90.00 gamma=90.00
Fractional positions:
1 In 0.000 0.000 0.000
2 Pt 0.000 0.000 0.500
3 Br 0.500 0.500 0.284
4 Br 0.500 0.500 0.716

***

Record 3
This record from Alexandria describes a relaxed structure of Zn2NiRu. The functional is GGA-PBEsol.

Calculated values
energy relative to the elements: 2 kJ per mole of atoms

Unit cell a=4.478 b=4.478 c=4.478 alpha=130.97 beta=130.97 gamma=71.86
Fractional positions:
1 Zn 0.000 0.000 0.000
2 Zn 0.750 0.250 0.500
3 Ni 0.500 0.500 0.000
4 Ru 0.250 0.750 0.500

***

Record 4
This record from Alexandria describes a relaxed structure of LiSb3. The functional is GGA-PBEsol.

Calculated values
raw formation energy: -161.6 meV/atom
excess energy over the best structure of this formula in the dataset: 0 meV/atom

Unit cell a=3.109 b=4.102 c=7.816 alpha=90.00 beta=90.00 gamma=90.00
Fractional positions:
1 Li 0.000 0.000 0.000
2 Sb 0.500 0.000 0.500
3 Sb 0.500 0.500 0.211
4 Sb 0.500 0.500 0.789

***

Record 5
This record from Alexandria describes a relaxed structure of LaZrRu. The functional is GGA-PBEsol.

Calculated values
energy relative to the elements: 38 kJ per mole of atoms

Unit cell a=4.560 b=4.560 c=4.560 alpha=60.00 beta=60.00 gamma=60.00
Fractional positions:
1 La 0.000 0.000 0.000
2 Zr 0.250 0.250 0.250
3 Ru 0.500 0.500 0.500

***

Record 6
This record from Alexandria describes a relaxed structure of UB2Ir3. The functional is GGA-PBEsol.

Calculated values
energy relative to the elements: -46 kJ per mole of atoms

Unit cell a=5.387 b=5.387 c=3.153 alpha=90.00 beta=90.00 gamma=120.00
Fractional positions:
1 U 0.000 0.000 0.000
2 B 0.333 0.667 0.000
3 B 0.667 0.333 0.000
4 Ir 0.000 0.500 0.500
5 Ir 0.500 0.000 0.500
6 Ir 0.500 0.500 0.500

***

Record 7
This record from Alexandria describes a relaxed structure of CaCO3. The functional is GGA-PBEsol.

Calculated values
raw formation energy: -2278.5 meV/atom

Unit cell a=6.308 b=7.592 c=12.576 alpha=93.84 beta=98.76 gamma=106.54
Fractional positions:
1 Ca 0.013 0.251 0.021
2 Ca 0.166 0.853 0.442
3 Ca 0.275 0.381 0.381
4 Ca 0.410 0.430 0.828
5 Ca 0.476 0.020 0.212
6 Ca 0.524 0.980 0.788
7 Ca 0.590 0.570 0.172
8 Ca 0.725 0.619 0.619
9 Ca 0.834 0.147 0.558
10 Ca 0.987 0.749 0.979
11 C 0.006 0.982 0.211
12 C 0.049 0.531 0.200
13 C 0.283 0.662 0.614
14 C 0.375 0.182 0.599
15 C 0.440 0.762 0.995
16 C 0.560 0.238 0.005
17 C 0.625 0.818 0.401
18 C 0.717 0.338 0.386
19 C 0.951 0.469 0.800
20 C 0.994 0.018 0.789
21 O 0.049 0.624 0.289
22 O 0.080 0.998 0.119
23 O 0.083 0.460 0.889
24 O 0.099 0.703 0.605
25 O 0.156 0.043 0.298
26 O 0.172 0.420 0.195
27 O 0.200 0.164 0.526
28 O 0.201 0.094 0.786
29 O 0.350 0.844 0.923
30 O 0.358 0.623 0.527
31 O 0.365 0.746 0.086
32 O 0.406 0.313 0.022
33 O 0.409 0.672 0.708
34 O 0.459 0.043 0.604
35 O 0.469 0.330 0.664
36 O 0.531 0.670 0.336
37 O 0.541 0.957 0.396
38 O 0.591 0.328 0.292
39 O 0.594 0.687 0.978
40 O 0.635 0.254 0.914
41 O 0.642 0.377 0.473
42 O 0.650 0.156 0.077
43 O 0.799 0.906 0.214
44 O 0.800 0.836 0.474
45 O 0.828 0.580 0.805
46 O 0.844 0.957 0.702
47 O 0.901 0.297 0.395
48 O 0.917 0.540 0.111
49 O 0.920 0.002 0.881
50 O 0.951 0.376 0.711

***

Record 8
This record from Alexandria describes a relaxed structure of MoAsAu2. The functional is GGA-PBEsol.

Calculated values
energy relative to the elements: 43 kJ per mole of atoms

Unit cell a=5.010 b=5.010 c=2.732 alpha=90.00 beta=90.00 gamma=90.00
Fractional positions:
1 Mo 0.000 0.000 0.000
2 As 0.500 0.500 0.000
3 Au 0.000 0.500 0.500
4 Au 0.500 0.000 0.500

***

| no. | magnetization (μB/f.u.) | N(E_F) (states/eV/cell) | raw total energy (Ha/atom) |
| --- | --- | --- | --- |
| 1 | 0.00 | 0.000 | -0.146 |
| 2 | 0.68 | 5.169 | -0.113 |
| 3 | 0.00 | 3.919 | -0.178 |
| 4 | 0.00 | 1.512 | -0.150 |
| 5 | 0.00 | 2.217 | -0.287 |
| 6 | 1.95 | 6.633 | -0.359 |
| 7 | 0.00 | 0.000 | -0.286 |
| 8 | 0.53 | 2.733 | -0.211 |